Below is a relaxed structure of CsIrSO, with properties calculated at the GGA-PBE level.

Cell lengths 6.650, 9.159, 5.939 Å; angles 90.00, 90.00, 90.00 degrees
Element x y z (fractional)
Cs  0.438  0.155  0.020
Cs  0.938  0.845  0.020
Cs  0.062  0.155  0.520
Cs  0.562  0.845  0.520
Ir  0.884  0.377  0.022
Ir  0.384  0.623  0.022
Ir  0.616  0.377  0.522
Ir  0.116  0.623  0.522
O  0.926  0.173  0.006
O  0.426  0.827  0.006
O  0.574  0.173  0.506
O  0.074  0.827  0.506
S  0.144  0.486  0.202
S  0.644  0.514  0.202
S  0.356  0.486  0.702
S  0.856  0.514  0.702

Computed properties:
Total magnetization   0.000 Bohr magnetons per cell
Space-group type   Pca2_1 (29)
Mass density   6852 kg/m3
Energy above the most stable polymorph in this dataset   0.0000 eV per atom

Below is a relaxed structure of CsIrSe2O8, with properties calculated at the GGA-PBE level.

Cell lengths 4.888, 4.888, 8.660 Å; angles 90.00, 90.00, 120.00 degrees
Element x y z (fractional)
Cs  0.000  0.000  0.000
Ir  0.000  0.000  0.500
O  0.667  0.333  0.111
O  0.001  0.327  0.357
O  0.673  0.674  0.357
O  0.326  0.999  0.357
O  0.674  0.001  0.643
O  0.327  0.326  0.643
O  0.999  0.673  0.643
O  0.333  0.667  0.889
Se  0.667  0.333  0.300
Se  0.333  0.667  0.700

Computed properties:
Total magnetization   0.002 Bohr magnetons per cell
Space-group type   P-3 (147)
Mass density   5662 kg/m3
Raw total energy   -65.5 eV per formula unit

Below is a relaxed structure of CsIrSeO, with properties calculated at the GGA-PBE level.

Cell lengths 8.427, 6.051, 9.100 Å; angles 90.00, 115.53, 90.00 degrees
Each line ends with the local moment (μB).
Element x y z (fractional)
Cs  0.499  0.705  0.124  0.00
Cs  0.106  0.205  0.185  0.00
Cs  0.894  0.705  0.815  0.00
Cs  0.501  0.205  0.876  0.00
Ir  0.548  0.208  0.497  0.06
Ir  0.000  0.956  0.500  0.16
Ir  0.000  0.456  0.500  0.16
Ir  0.452  0.708  0.503  0.06
O  0.430  0.948  0.353  0.01
O  0.429  0.467  0.354  0.01
O  0.571  0.967  0.646  0.01
O  0.570  0.448  0.647  0.01
Se  0.945  0.705  0.267  0.09
Se  0.749  0.206  0.358  0.00
Se  0.251  0.706  0.642  0.00
Se  0.055  0.205  0.733  0.09

Computed properties:
Total magnetization   0.830 Bohr magnetons per cell
Space-group type   P2_1 (4)
Mass density   6663 kg/m3
Energy above the most stable polymorph in this dataset   0.0000 eV per atom